This record from Alexandria describes a geometry-optimized UCr4SnS8 structure. The functional is PBE-GGA.

As for the symmetry: R3m. For the raw formation energy, the calculation gives -0.613 eV per atom. Its calculated total energy is -95.38 eV for the cell shown.

a = 7.5601 Å, b = 7.5601 Å, c = 7.5601 Å
α = 53.25°, β = 53.25°, γ = 53.25°
Closest atoms and distances in Å follow each position.
Fractional coordinates of all 14 atoms:
U  0.0000  0.0000  0.0000  6 S 2.66-2.72
Cr  0.5518  0.9683  0.9683  6 S 2.27-2.46
Cr  0.6293  0.6293  0.6293  4 S 2.28-2.31
Cr  0.9683  0.5518  0.9683  6 S 2.27-2.46
Cr  0.9683  0.9683  0.5518  6 S 2.27-2.46
Sn  0.3510  0.3510  0.3510  4 S 2.59-2.74
S  0.2098  0.2098  0.2098  3 Cr 2.46, 1 Sn 2.74
S  0.2326  0.7412  0.7412  3 Cr 2.28-2.32
S  0.2617  0.2617  0.7791  2 Cr 2.43, 1 Sn 2.59, 1 U 2.72
S  0.2617  0.7791  0.2617  2 Cr 2.43, 1 Sn 2.59, 1 U 2.72
S  0.7412  0.2326  0.7412  3 Cr 2.28-2.32
S  0.7412  0.7412  0.2326  3 Cr 2.28-2.32
S  0.7482  0.7482  0.7482  4 Cr 2.27-2.31
S  0.7791  0.2617  0.2617  2 Cr 2.43, 1 Sn 2.59, 1 U 2.72

This record from Alexandria describes a geometry-optimized TbPr14Nd structure. The functional is PBE-GGA.

As for the symmetry: P4/mmm. For the energy of formation from the pure elements, the calculation gives 12 meV per atom. Its calculated total energy is -76.12 eV for the cell shown.

a = 7.3958 Å, b = 7.3958 Å, c = 10.4918 Å
α = 90.00°, β = 90.00°, γ = 90.00°
Closest atoms and distances in Å follow each position.
Fractional coordinates of all 16 atoms:
Tb  0.0000  0.0000  0.0000  12 Pr 3.68-3.70
Pr  0.0000  0.0000  0.5000  12 Pr 3.70-3.71
Pr  0.0000  0.5000  0.0000  8 Pr 3.69, 2 Tb 3.70, 2 Nd 3.70
Pr  0.0000  0.5000  0.5000  12 Pr 3.70-3.72
Pr  0.2491  0.2491  0.2483  10 Pr 3.68-3.72, 1 Tb 3.68, 1 Nd 3.70
Pr  0.2491  0.2491  0.7517  10 Pr 3.68-3.72, 1 Tb 3.68, 1 Nd 3.70
Pr  0.2491  0.7509  0.2483  10 Pr 3.68-3.72, 1 Tb 3.68, 1 Nd 3.70
Pr  0.2491  0.7509  0.7517  10 Pr 3.68-3.72, 1 Tb 3.68, 1 Nd 3.70
Pr  0.5000  0.0000  0.0000  8 Pr 3.69, 2 Tb 3.70, 2 Nd 3.70
Pr  0.5000  0.0000  0.5000  12 Pr 3.70-3.72
Pr  0.5000  0.5000  0.5000  12 Pr 3.70-3.72
Pr  0.7509  0.2491  0.2483  10 Pr 3.68-3.72, 1 Tb 3.68, 1 Nd 3.70
Pr  0.7509  0.2491  0.7517  10 Pr 3.68-3.72, 1 Tb 3.68, 1 Nd 3.70
Pr  0.7509  0.7509  0.2483  10 Pr 3.68-3.72, 1 Tb 3.68, 1 Nd 3.70
Pr  0.7509  0.7509  0.7517  10 Pr 3.68-3.72, 1 Tb 3.68, 1 Nd 3.70
Nd  0.5000  0.5000  0.0000  12 Pr 3.70

This record from Alexandria describes a geometry-optimized Mg3ScI structure. The functional is PBE-GGA.

As for the symmetry: Pm-3m. For the energy above the lowest structure with this stoichiometry, the calculation gives 0.0000 eV/atom. For the raw formation energy, the calculation gives 0.658 eV per atom. Its calculated total energy is -9.38 eV for the cell shown.

a = 5.9535 Å, b = 5.9535 Å, c = 5.9535 Å
α = 90.00°, β = 90.00°, γ = 90.00°
Closest atoms and distances in Å follow each position.
Fractional coordinates of all 5 atoms:
Mg  0.0000  0.0000  0.5000  2 Sc 2.98
Mg  0.0000  0.5000  0.0000  2 Sc 2.98
Mg  0.5000  0.0000  0.0000  2 Sc 2.98
Sc  0.0000  0.0000  0.0000  6 Mg 2.98
I  0.5000  0.5000  0.5000  12 Mg 4.21

This record from Alexandria describes a geometry-optimized RbPm2Ga structure. The functional is PBE-GGA.

As for the symmetry: R-3m. For the energy of formation from the pure elements, the calculation gives 46 meV per atom. Its calculated total energy is -13.31 eV for the cell shown.

a = 12.3609 Å, b = 12.3609 Å, c = 12.3609 Å
α = 17.96°, β = 17.96°, γ = 17.96°
Closest atoms and distances in Å follow each position.
Fractional coordinates of all 4 atoms:
Rb  0.0000  0.0000  0.0000  6 Rb 3.86, 2 Pm 4.05
Pm  0.1112  0.1112  0.1112  3 Ga 3.01
Pm  0.8888  0.8888  0.8888  3 Ga 3.01
Ga  0.5000  0.5000  0.5000  6 Pm 3.01

Fermi-level density of states, record by record: 8.264; 26.410; 2.379; 5.416 states/eV per cell